Entry 1:
## Ag2OsPt (PBE)

Data for an optimized crystal structure of Ag2OsPt.

Its total DFT energy (no corrections) is -21.9 eV for the cell shown. As for the crystal system: tetragonal. The value obtained for the total magnetic moment is 0.00 μB/atom. For the energy relative to the lowest polymorph listed for this composition, the calculation gives 0.38 kcal/mol of atoms. The density of states at the Fermi level comes out at 2.65 states/eV per cell.

The space group is P4mm (No. 99) and the conventional cell measures 2.798, 2.798 and 8.325 Å, with angles of 90.00, 90.00 and 90.00 degrees. The distinct sites, in fractional coordinates, are Ag at (0.000, 0.000, 0.000), Ag at (0.500, 0.500, 0.266), Os at (0.000, 0.000, 0.522) and Pt at (0.500, 0.500, 0.738).

=====

Entry 2:
## CaTm2ScSb4 (PBE)

Data for an optimized crystal structure of CaTm2ScSb4.

The calculation puts the energy relative to the elements, uncorrected at -938 meV per atom. Its total DFT energy (no corrections) is -165.1 eV for the cell shown. As for the crystal system: orthorhombic. The value obtained for the total magnetic moment is 0.00 μB/atom. The density of states at the Fermi level comes out at 14.47 states/eV per cell.

The space group is Fmm2 (No. 42) and the conventional cell measures 8.677, 12.260 and 8.675 Å, with angles of 90.00, 90.00 and 90.00 degrees. The distinct sites, in fractional coordinates, are Ca at (0.000, 0.000, 0.000), Tm at (0.250, 0.250, 0.249), Sc at (0.000, 0.000, 0.500), Sb at (0.000, 0.240, 0.499) and Sb at (0.250, 0.000, 0.250).

=====

Entry 3:
## PrSmDy2 (PBE)

Data for an optimized crystal structure of PrSmDy2.

Its total DFT energy (no corrections) is -18.6 eV for the cell shown. As for the crystal system: tetragonal. The value obtained for the total magnetic moment is 0.00 μB/atom. For the energy relative to the lowest polymorph listed for this composition, the calculation gives 0.52 kcal/mol of atoms. The density of states at the Fermi level comes out at 5.61 states/eV per cell.

The space group is P4/mmm (No. 123) and the conventional cell measures 3.610, 3.610 and 10.187 Å, with angles of 90.00, 90.00 and 90.00 degrees. The distinct sites, in fractional coordinates, are Pr at (0.000, 0.000, 0.000), Sm at (0.000, 0.000, 0.500) and Dy at (0.500, 0.500, 0.253).

=====

Q: Among the records above, which one has the lowest total DFT energy (no corrections)?
A: CaTm2ScSb4

=====

Q: What is the total DFT energy (no corrections) in the third record?
A: -18.6 eV for the cell shown

=====

Q: Which value of total magnetic moment does entry 1 give?
A: 0.00 μB/atom